! Sm3Ge2Au4 | Alexandria | PBE | relaxed; values from VASP
! space-group type: C2/m, No. 12
! DFT formation energy: -0.80 eV/atom
! calculated volume: 22.462 A^3/atom
! size of the total moment: 0.0 μB per formula unit
! raw total energy: -43.7 eV/cell
&SYSTEM
  ibrav = 0, nat = 9, ntyp = 3
/
ATOMIC_SPECIES
Sm 150.36 Sm.upf
Ge 72.64 Ge.upf
Au 196.97 Au.upf
CELL_PARAMETERS angstrom
4.559 0.000 0.000
-2.280 5.139 -1.791
0.000 -0.568 8.826
ATOMIC_POSITIONS angstrom
Sm 2.280 1.236 5.395
Sm 0.000 0.000 0.000
Sm 0.000 3.336 1.640
Ge 2.280 1.058 2.096
Ge 0.000 3.514 4.939
Au 2.280 2.147 -0.250
Au 0.000 2.424 7.285
Au 2.280 4.029 3.762
Au 0.000 0.542 3.273